# PBE B2TeC2, optimized geometry
# DFT total energy: -4.88 eV per atom
# Raw formation energy: 10.521 eV per formula unit
# Offset from the most stable computed form: 1500 meV/atom
data_B2TeC2
_chemical_formula_sum 'B4 Te2 C4'
_cell_length_a 6.436
_cell_length_b 6.436
_cell_length_c 2.709
_cell_angle_alpha 90.00
_cell_angle_beta 90.00
_cell_angle_gamma 90.00
_symmetry_space_group_name_H-M 'P 1'
_symmetry_Int_Tables_number 1
loop_
_symmetry_equiv_pos_as_xyz
'x,y,z'
loop_
_atom_site_label
_atom_site_fract_x
_atom_site_fract_y
_atom_site_fract_z
C1 0.910 0.590 0.000
C2 0.590 0.090 0.000
C3 0.410 0.910 0.000
C4 0.090 0.410 0.000
B1 0.902 0.402 0.500
B2 0.402 0.098 0.500
B3 0.098 0.598 0.500
B4 0.598 0.902 0.500
Te1 0.000 0.000 0.000
Te2 0.500 0.500 0.000



# PBE ZnNiPb4, optimized geometry
# Formation energy from the elements: 67.7 kJ/mol of atoms
# DFT total energy: -2.95 eV per atom
data_ZnNiPb4
_chemical_formula_sum 'Zn1 Ni1 Pb4'
_cell_length_a 6.349
_cell_length_b 6.349
_cell_length_c 6.349
_cell_angle_alpha 60.00
_cell_angle_beta 60.00
_cell_angle_gamma 60.00
_symmetry_space_group_name_H-M 'P 1'
_symmetry_Int_Tables_number 1
loop_
_symmetry_equiv_pos_as_xyz
'x,y,z'
loop_
_atom_site_label
_atom_site_fract_x
_atom_site_fract_y
_atom_site_fract_z
Pb1 0.375 0.375 0.375
Pb2 0.876 0.375 0.375
Pb3 0.375 0.375 0.876
Pb4 0.375 0.876 0.375
Ni1 0.000 0.000 0.000
Zn1 0.750 0.750 0.750



# PBE Al3Sb, optimized geometry
# DFT total energy: -3.57 eV per atom
# Raw formation energy: 1.089 eV per formula unit
data_Al3Sb
_chemical_formula_sum 'Al6 Sb2'
_cell_length_a 5.472
_cell_length_b 5.472
_cell_length_c 5.472
_cell_angle_alpha 90.00
_cell_angle_beta 90.00
_cell_angle_gamma 90.00
_symmetry_space_group_name_H-M 'P 1'
_symmetry_Int_Tables_number 1
loop_
_symmetry_equiv_pos_as_xyz
'x,y,z'
loop_
_atom_site_label
_atom_site_fract_x
_atom_site_fract_y
_atom_site_fract_z
Al1 0.750 0.500 0.000
Al2 0.250 0.500 0.000
Al3 0.500 0.000 0.750
Al4 0.500 0.000 0.250
Al5 0.000 0.250 0.500
Al6 0.000 0.750 0.500
Sb1 0.500 0.500 0.500
Sb2 0.000 0.000 0.000



# PBE Tb5Pr4Mg2, optimized geometry
# Formation energy from the elements: 7.2 kJ/mol of atoms
# DFT total energy: -4.06 eV per atom
# Offset from the most stable computed form: 0 meV/atom
data_Tb5Pr4Mg2
_chemical_formula_sum 'Tb5 Pr4 Mg2'
_cell_length_a 3.490
_cell_length_b 8.814
_cell_length_c 11.606
_cell_angle_alpha 94.07
_cell_angle_beta 90.00
_cell_angle_gamma 90.00
_symmetry_space_group_name_H-M 'P 1'
_symmetry_Int_Tables_number 1
loop_
_symmetry_equiv_pos_as_xyz
'x,y,z'
loop_
_atom_site_label
_atom_site_fract_x
_atom_site_fract_y
_atom_site_fract_z
Tb1 0.000 0.500 0.000
Tb2 0.000 0.794 0.831
Tb3 0.000 0.427 0.709
Tb4 0.000 0.573 0.291
Tb5 0.000 0.206 0.169
Pr1 0.500 0.852 0.114
Pr2 0.500 0.148 0.886
Pr3 0.500 0.711 0.548
Pr4 0.500 0.289 0.452
Mg1 0.000 0.948 0.369
Mg2 0.000 0.052 0.631



# PBE Cr2AgSb, optimized geometry
# DFT total energy: -6.10 eV per atom
# Raw formation energy: 1.804 eV per formula unit
data_Cr2AgSb
_chemical_formula_sum 'Cr2 Ag1 Sb1'
_cell_length_a 3.508
_cell_length_b 3.508
_cell_length_c 5.992
_cell_angle_alpha 90.00
_cell_angle_beta 90.00
_cell_angle_gamma 89.94
_symmetry_space_group_name_H-M 'P 1'
_symmetry_Int_Tables_number 1
loop_
_symmetry_equiv_pos_as_xyz
'x,y,z'
loop_
_atom_site_label
_atom_site_fract_x
_atom_site_fract_y
_atom_site_fract_z
Ag1 0.500 0.500 0.750
Cr1 0.000 0.000 0.002
Cr2 0.000 0.000 0.498
Sb1 0.500 0.500 0.250



# PBE Ac3Pm3ErTe8, optimized geometry
# DFT total energy: -5.21 eV per atom
# Raw formation energy: -21.899 eV per formula unit
data_Ac3Pm3ErTe8
_chemical_formula_sum 'Ac3 Pm3 Er1 Te8'
_cell_length_a 9.064
_cell_length_b 9.064
_cell_length_c 9.230
_cell_angle_alpha 119.41
_cell_angle_beta 90.00
_cell_angle_gamma 120.00
_symmetry_space_group_name_H-M 'P 1'
_symmetry_Int_Tables_number 1
loop_
_symmetry_equiv_pos_as_xyz
'x,y,z'
loop_
_atom_site_label
_atom_site_fract_x
_atom_site_fract_y
_atom_site_fract_z
Te1 0.254 0.011 0.268
Te2 0.256 0.511 0.267
Te3 0.757 0.514 0.268
Te4 0.243 0.486 0.732
Te5 0.243 0.989 0.732
Te6 0.744 0.489 0.733
Te7 0.746 0.989 0.732
Te8 0.757 0.011 0.268
Pm1 0.500 0.500 0.500
Pm2 0.000 0.500 0.500
Pm3 0.500 0.000 0.500
Ac1 0.000 0.000 0.000
Ac2 0.000 0.500 0.000
Ac3 0.500 0.500 0.000
Er1 0.000 0.000 0.500



# PBE CsFeNi2Cl8, optimized geometry
# DFT total energy: -3.73 eV per atom
# Raw formation energy: -9.157 eV per formula unit
data_CsFeNi2Cl8
_chemical_formula_sum 'Cs1 Fe1 Ni2 Cl8'
_cell_length_a 6.143
_cell_length_b 6.143
_cell_length_c 10.590
_cell_angle_alpha 73.14
_cell_angle_beta 73.14
_cell_angle_gamma 60.00
_symmetry_space_group_name_H-M 'P 1'
_symmetry_Int_Tables_number 1
loop_
_symmetry_equiv_pos_as_xyz
'x,y,z'
loop_
_atom_site_label
_atom_site_fract_x
_atom_site_fract_y
_atom_site_fract_z
Cl1 0.047 0.345 0.866
Cl2 0.953 0.655 0.134
Cl3 0.804 0.804 0.589
Cl4 0.345 0.742 0.866
Cl5 0.258 0.953 0.134
Cl6 0.655 0.258 0.134
Cl7 0.742 0.047 0.866
Cl8 0.196 0.196 0.411
Ni1 0.270 0.270 0.191
Ni2 0.730 0.730 0.809
Cs1 0.500 0.500 0.500
Fe1 0.000 0.000 0.000



# PBE DyTm3Tl3, optimized geometry
# Formation energy from the elements: -20.0 kJ/mol of atoms
# DFT total energy: -3.80 eV per atom
data_DyTm3Tl3
_chemical_formula_sum 'Dy2 Tm6 Tl6'
_cell_length_a 5.207
_cell_length_b 9.288
_cell_length_c 9.288
_cell_angle_alpha 120.00
_cell_angle_beta 90.00
_cell_angle_gamma 90.00
_symmetry_space_group_name_H-M 'P 1'
_symmetry_Int_Tables_number 1
loop_
_symmetry_equiv_pos_as_xyz
'x,y,z'
loop_
_atom_site_label
_atom_site_fract_x
_atom_site_fract_y
_atom_site_fract_z
Dy1 0.250 0.667 0.333
Dy2 0.750 0.333 0.667
Tl1 0.750 0.624 0.550
Tl2 0.750 0.926 0.376
Tl3 0.250 0.550 0.926
Tl4 0.250 0.376 0.450
Tl5 0.250 0.074 0.624
Tl6 0.750 0.450 0.074
Tm1 0.750 0.004 0.773
Tm2 0.250 0.231 0.004
Tm3 0.250 0.773 0.769
Tm4 0.750 0.769 0.996
Tm5 0.750 0.227 0.231
Tm6 0.250 0.996 0.227



# PBE Tm5Pd4Pb, optimized geometry
# Formation energy from the elements: -79.6 kJ/mol of atoms
# DFT total energy: -5.51 eV per atom
data_Tm5Pd4Pb
_chemical_formula_sum 'Tm5 Pd4 Pb1'
_cell_length_a 3.479
_cell_length_b 3.479
_cell_length_c 18.361
_cell_angle_alpha 90.00
_cell_angle_beta 90.00
_cell_angle_gamma 90.00
_symmetry_space_group_name_H-M 'P 1'
_symmetry_Int_Tables_number 1
loop_
_symmetry_equiv_pos_as_xyz
'x,y,z'
loop_
_atom_site_label
_atom_site_fract_x
_atom_site_fract_y
_atom_site_fract_z
Pb1 0.000 0.000 0.000
Pd1 0.000 0.000 0.406
Pd2 0.000 0.000 0.217
Pd3 0.000 0.000 0.783
Pd4 0.000 0.000 0.594
Tm1 0.500 0.500 0.500
Tm2 0.500 0.500 0.126
Tm3 0.500 0.500 0.874
Tm4 0.500 0.500 0.688
Tm5 0.500 0.500 0.312



# PBE LiZnNiHg, optimized geometry
# Formation energy from the elements: -14.4 kJ/mol of atoms
# DFT total energy: -2.47 eV per atom
data_LiZnNiHg
_chemical_formula_sum 'Li1 Zn1 Ni1 Hg1'
_cell_length_a 4.364
_cell_length_b 4.364
_cell_length_c 4.364
_cell_angle_alpha 60.00
_cell_angle_beta 60.00
_cell_angle_gamma 60.00
_symmetry_space_group_name_H-M 'P 1'
_symmetry_Int_Tables_number 1
loop_
_symmetry_equiv_pos_as_xyz
'x,y,z'
loop_
_atom_site_label
_atom_site_fract_x
_atom_site_fract_y
_atom_site_fract_z
Hg1 0.500 0.500 0.500
Li1 0.750 0.750 0.750
Ni1 0.250 0.250 0.250
Zn1 0.000 0.000 0.000



# PBE Li2CdPd6, optimized geometry
# Formation energy from the elements: -19.5 kJ/mol of atoms
# DFT total energy: -4.19 eV per atom
# Offset from the most stable computed form: 64 meV/atom
data_Li2CdPd6
_chemical_formula_sum 'Li2 Cd1 Pd6'
_cell_length_a 6.809
_cell_length_b 4.929
_cell_length_c 4.929
_cell_angle_alpha 69.79
_cell_angle_beta 68.73
_cell_angle_gamma 68.73
_symmetry_space_group_name_H-M 'P 1'
_symmetry_Int_Tables_number 1
loop_
_symmetry_equiv_pos_as_xyz
'x,y,z'
loop_
_atom_site_label
_atom_site_fract_x
_atom_site_fract_y
_atom_site_fract_z
Pd1 0.522 0.234 0.234
Pd2 0.727 0.180 0.651
Pd3 0.273 0.820 0.349
Pd4 0.727 0.651 0.180
Pd5 0.273 0.349 0.820
Pd6 0.478 0.766 0.766
Cd1 0.000 0.000 0.000
Li1 0.891 0.651 0.651
Li2 0.109 0.349 0.349



# PBE Ti5W, optimized geometry
# Formation energy from the elements: 8.0 kJ/mol of atoms
# DFT total energy: -8.65 eV per atom
# Offset from the most stable computed form: 46 meV/atom
data_Ti5W
_chemical_formula_sum 'Ti5 W1'
_cell_length_a 2.760
_cell_length_b 8.003
_cell_length_c 5.537
_cell_angle_alpha 59.06
_cell_angle_beta 75.57
_cell_angle_gamma 80.07
_symmetry_space_group_name_H-M 'P 1'
_symmetry_Int_Tables_number 1
loop_
_symmetry_equiv_pos_as_xyz
'x,y,z'
loop_
_atom_site_label
_atom_site_fract_x
_atom_site_fract_y
_atom_site_fract_z
Ti1 0.324 0.348 0.003
Ti2 0.400 0.705 0.494
Ti3 0.661 0.680 0.999
Ti4 0.731 0.037 0.500
Ti5 0.063 0.369 0.505
W1 0.987 0.027 0.999